Entry 1:
# MgNbCdIr | the Open Quantum Materials Database | PBE-GGA | optimized geometry
data_MgNbCdIr
_chemical_formula_sum 'Mg1 Nb1 Cd1 Ir1'
_space_group_name_H-M_alt 'P 1'
_space_group_IT_number 1
_cell_length_a 4.582
_cell_length_b 4.582
_cell_length_c 4.582
_cell_angle_alpha 60.00
_cell_angle_beta 60.00
_cell_angle_gamma 60.00
loop_
_space_group_symop_operation_xyz
'x,y,z'
loop_
_atom_site_label
_atom_site_fract_x
_atom_site_fract_y
_atom_site_fract_z
Cd1 0.000 0.000 0.000
Ir1 0.250 0.250 0.250
Mg1 0.750 0.750 0.750
Nb1 0.500 0.500 0.500
# Offset from the most stable computed form   0.0000 eV per atom
# M_tot   0.00 Bohr magnetons per cell
# Space-group type   F-43m, No. 216



Entry 2:
# Cu5Ag4 | the Open Quantum Materials Database | PBE-GGA | optimized geometry
data_Cu5Ag4
_chemical_formula_sum 'Cu5 Ag4'
_space_group_name_H-M_alt 'P 1'
_space_group_IT_number 1
_cell_length_a 2.777
_cell_length_b 2.777
_cell_length_c 19.814
_cell_angle_alpha 90.00
_cell_angle_beta 90.00
_cell_angle_gamma 120.00
loop_
_space_group_symop_operation_xyz
'x,y,z'
loop_
_atom_site_label
_atom_site_fract_x
_atom_site_fract_y
_atom_site_fract_z
Ag1 0.000 0.000 0.161
Ag2 0.667 0.333 0.288
Ag3 0.333 0.667 0.712
Ag4 0.000 0.000 0.839
Cu1 0.333 0.667 0.049
Cu2 0.333 0.667 0.401
Cu3 0.000 0.000 0.500
Cu4 0.667 0.333 0.599
Cu5 0.667 0.333 0.951
# Offset from the most stable computed form   0.0588 eV per atom
# E_form   0.10 eV per atom
# Space-group type   P-3m1, No. 164



Entry 3:
# LuTlFeSe3 | the Open Quantum Materials Database | PBE-GGA | optimized geometry
data_LuTlFeSe3
_chemical_formula_sum 'Lu2 Tl2 Fe2 Se6'
_space_group_name_H-M_alt 'P 1'
_space_group_IT_number 1
_cell_length_a 8.411
_cell_length_b 3.984
_cell_length_c 10.483
_cell_angle_alpha 90.00
_cell_angle_beta 110.70
_cell_angle_gamma 90.00
loop_
_space_group_symop_operation_xyz
'x,y,z'
loop_
_atom_site_label
_atom_site_fract_x
_atom_site_fract_y
_atom_site_fract_z
Fe1 0.932 0.750 0.412
Fe2 0.068 0.250 0.588
Lu1 0.683 0.250 0.144
Lu2 0.317 0.750 0.856
Se1 0.445 0.750 0.138
Se2 0.930 0.750 0.179
Se3 0.767 0.250 0.438
Se4 0.233 0.750 0.562
Se5 0.070 0.250 0.821
Se6 0.555 0.250 0.862
Tl1 0.268 0.250 0.293
Tl2 0.732 0.750 0.707
# Offset from the most stable computed form   0.0049 eV per atom
# M_tot   7.55 Bohr magnetons per cell
# Space-group type   P2_1/m, No. 11



Entry 4:
# RbHfCo | the Open Quantum Materials Database | PBE-GGA | optimized geometry
data_RbHfCo
_chemical_formula_sum 'Rb1 Hf1 Co1'
_space_group_name_H-M_alt 'P 1'
_space_group_IT_number 1
_cell_length_a 4.696
_cell_length_b 4.696
_cell_length_c 4.696
_cell_angle_alpha 60.00
_cell_angle_beta 60.00
_cell_angle_gamma 60.00
loop_
_space_group_symop_operation_xyz
'x,y,z'
loop_
_atom_site_label
_atom_site_fract_x
_atom_site_fract_y
_atom_site_fract_z
Co1 0.000 0.000 0.000
Hf1 0.250 0.250 0.250
Rb1 0.750 0.750 0.750
# Offset from the most stable computed form   0.0000 eV per atom
# M_tot   0.01 Bohr magnetons per cell
# Space-group type   F-43m, No. 216



Entry 5:
# CsKIr | the Open Quantum Materials Database | PBE-GGA | optimized geometry
data_CsKIr
_chemical_formula_sum 'Cs1 K1 Ir1'
_space_group_name_H-M_alt 'P 1'
_space_group_IT_number 1
_cell_length_a 5.656
_cell_length_b 5.656
_cell_length_c 5.656
_cell_angle_alpha 60.00
_cell_angle_beta 60.00
_cell_angle_gamma 60.00
loop_
_space_group_symop_operation_xyz
'x,y,z'
loop_
_atom_site_label
_atom_site_fract_x
_atom_site_fract_y
_atom_site_fract_z
Cs1 0.250 0.250 0.250
Ir1 0.000 0.000 0.000
K1 0.750 0.750 0.750
# Offset from the most stable computed form   0.0000 eV per atom
# M_tot   1.00 Bohr magnetons per cell
# Space-group type   F-43m, No. 216



Entry 6:
# CoReBi | the Open Quantum Materials Database | PBE-GGA | optimized geometry
data_CoReBi
_chemical_formula_sum 'Co1 Re1 Bi1'
_space_group_name_H-M_alt 'P 1'
_space_group_IT_number 1
_cell_length_a 4.240
_cell_length_b 4.240
_cell_length_c 4.240
_cell_angle_alpha 60.00
_cell_angle_beta 60.00
_cell_angle_gamma 60.00
loop_
_space_group_symop_operation_xyz
'x,y,z'
loop_
_atom_site_label
_atom_site_fract_x
_atom_site_fract_y
_atom_site_fract_z
Bi1 0.250 0.250 0.250
Co1 0.000 0.000 0.000
Re1 0.750 0.750 0.750
# Offset from the most stable computed form   0.0000 eV per atom
# M_tot   2.95 Bohr magnetons per cell
# Space-group type   F-43m, No. 216



Entry 7:
# NbZnTc2 | the Open Quantum Materials Database | PBE-GGA | optimized geometry
data_NbZnTc2
_chemical_formula_sum 'Nb1 Zn1 Tc2'
_space_group_name_H-M_alt 'P 1'
_space_group_IT_number 1
_cell_length_a 4.429
_cell_length_b 4.429
_cell_length_c 4.429
_cell_angle_alpha 60.00
_cell_angle_beta 60.00
_cell_angle_gamma 60.00
loop_
_space_group_symop_operation_xyz
'x,y,z'
loop_
_atom_site_label
_atom_site_fract_x
_atom_site_fract_y
_atom_site_fract_z
Nb1 0.750 0.750 0.750
Tc1 0.000 0.000 0.000
Tc2 0.250 0.250 0.250
Zn1 0.500 0.500 0.500
# E_form   0.13 eV per atom
# M_tot   0.01 Bohr magnetons per cell
# Space-group type   F-43m, No. 216



Entry 8:
# CsCuGeSe3 | the Open Quantum Materials Database | PBE-GGA | optimized geometry
data_CsCuGeSe3
_chemical_formula_sum 'Cs2 Cu2 Ge2 Se6'
_space_group_name_H-M_alt 'P 1'
_space_group_IT_number 1
_cell_length_a 9.362
_cell_length_b 3.978
_cell_length_c 10.056
_cell_angle_alpha 90.00
_cell_angle_beta 115.53
_cell_angle_gamma 90.00
loop_
_space_group_symop_operation_xyz
'x,y,z'
loop_
_atom_site_label
_atom_site_fract_x
_atom_site_fract_y
_atom_site_fract_z
Cs1 0.776 0.750 0.232
Cs2 0.224 0.250 0.768
Cu1 0.065 0.250 0.083
Cu2 0.935 0.750 0.917
Ge1 0.332 0.750 0.362
Ge2 0.668 0.250 0.638
Se1 0.220 0.750 0.073
Se2 0.139 0.250 0.349
Se3 0.528 0.250 0.359
Se4 0.472 0.750 0.641
Se5 0.861 0.750 0.651
Se6 0.780 0.250 0.927
# Offset from the most stable computed form   0.0000 eV per atom
# Space-group type   P2_1/m, No. 11



Entry 9:
# Mg2ZnPt2 | the Open Quantum Materials Database | PBE-GGA | optimized geometry
data_Mg2ZnPt2
_chemical_formula_sum 'Mg4 Zn2 Pt4'
_space_group_name_H-M_alt 'P 1'
_space_group_IT_number 1
_cell_length_a 6.701
_cell_length_b 6.701
_cell_length_c 3.866
_cell_angle_alpha 90.00
_cell_angle_beta 90.00
_cell_angle_gamma 90.00
loop_
_space_group_symop_operation_xyz
'x,y,z'
loop_
_atom_site_label
_atom_site_fract_x
_atom_site_fract_y
_atom_site_fract_z
Mg1 0.341 0.159 0.500
Mg2 0.841 0.341 0.500
Mg3 0.159 0.659 0.500
Mg4 0.659 0.841 0.500
Pt1 0.644 0.144 0.000
Pt2 0.144 0.356 0.000
Pt3 0.856 0.644 0.000
Pt4 0.356 0.856 0.000
Zn1 0.000 0.000 0.000
Zn2 0.500 0.500 0.000
# M_tot   0.00 Bohr magnetons per cell
# Space-group type   P4/mbm, No. 127



Entry 10:
# TbPr2Zn2Si4Au2 | the Open Quantum Materials Database | PBE-GGA | optimized geometry
data_TbPr2Zn2Si4Au2
_chemical_formula_sum 'Tb1 Pr2 Zn2 Si4 Au2'
_space_group_name_H-M_alt 'P 1'
_space_group_IT_number 1
_cell_length_a 12.908
_cell_length_b 12.908
_cell_length_c 12.908
_cell_angle_alpha 161.47
_cell_angle_beta 160.92
_cell_angle_gamma 26.72
loop_
_space_group_symop_operation_xyz
'x,y,z'
loop_
_atom_site_label
_atom_site_fract_x
_atom_site_fract_y
_atom_site_fract_z
Au1 0.906 0.406 0.500
Au2 0.094 0.594 0.500
Pr1 0.647 0.147 0.500
Pr2 0.353 0.853 0.500
Si1 0.454 0.454 0.000
Si2 0.546 0.546 0.000
Si3 0.808 0.308 0.500
Si4 0.192 0.692 0.500
Tb1 0.000 0.000 0.000
Zn1 0.250 0.250 0.000
Zn2 0.750 0.750 0.000
# M_tot   0.01 Bohr magnetons per cell
# Space-group type   Immm, No. 71



Entry 11:
# KU | the Open Quantum Materials Database | PBE-GGA | optimized geometry
data_KU
_chemical_formula_sum 'K1 U1'
_space_group_name_H-M_alt 'P 1'
_space_group_IT_number 1
_cell_length_a 5.751
_cell_length_b 5.751
_cell_length_c 5.751
_cell_angle_alpha 60.00
_cell_angle_beta 60.00
_cell_angle_gamma 60.00
loop_
_space_group_symop_operation_xyz
'x,y,z'
loop_
_atom_site_label
_atom_site_fract_x
_atom_site_fract_y
_atom_site_fract_z
K1 0.000 0.000 0.000
U1 0.250 0.250 0.250
# M_tot   5.00 Bohr magnetons per cell
# Space-group type   F-43m, No. 216



Entry 12:
# AcBAu | the Open Quantum Materials Database | PBE-GGA | optimized geometry
data_AcBAu
_chemical_formula_sum 'Ac1 B1 Au1'
_space_group_name_H-M_alt 'P 1'
_space_group_IT_number 1
_cell_length_a 4.932
_cell_length_b 4.932
_cell_length_c 4.932
_cell_angle_alpha 60.00
_cell_angle_beta 60.00
_cell_angle_gamma 60.00
loop_
_space_group_symop_operation_xyz
'x,y,z'
loop_
_atom_site_label
_atom_site_fract_x
_atom_site_fract_y
_atom_site_fract_z
Ac1 0.000 0.000 0.000
Au1 0.250 0.250 0.250
B1 0.750 0.750 0.750
# Offset from the most stable computed form   0.6006 eV per atom
# M_tot   0.23 Bohr magnetons per cell
# Space-group type   F-43m, No. 216



| no. | energy (eV per atom) |
| --- | --- |
| 1 | -5.516 |
| 2 | -3.221 |
| 3 | -5.215 |
| 4 | -4.621 |
| 5 | -2.634 |
| 6 | -6.986 |
| 7 | -7.892 |
| 8 | -3.754 |
| 9 | -3.946 |
| 10 | -4.753 |
| 11 | -3.203 |
| 12 | -3.964 |